# 1
## Tl15Sn2Hg2 (PBE)

Data for a relaxed structure of Tl15Sn2Hg2.

Values from the calculation:
Energy of formation from the pure elements   109 meV per atom
Total DFT energy (no corrections)   -2.2124 eV per atom
Symmetry   R-3m

```
Tl15Sn2Hg2
1.0
4.964 2.866 7.375
-4.964 2.866 7.375
0.000 -5.731 7.375
Tl Sn Hg
15 2 2
Cartesian
-4.964 0.000 11.062 Tl
-1.550 -3.048 7.375 Tl
-2.482 1.433 3.687 Tl
-3.414 0.182 7.375 Tl
-1.794 -1.036 9.818 Tl
1.550 -3.048 7.375 Tl
-1.865 2.866 7.375 Tl
0.000 -2.072 12.305 Tl
-1.794 1.036 12.305 Tl
2.482 1.433 3.687 Tl
1.794 -1.036 9.818 Tl
0.000 2.072 9.818 Tl
3.414 0.182 7.375 Tl
1.865 2.866 7.375 Tl
1.794 1.036 12.305 Tl
0.000 0.000 7.002 Sn
0.000 0.000 15.122 Sn
0.000 0.000 2.038 Hg
0.000 0.000 20.085 Hg
```

=====

# 2
## Tl2Sn2Hg7 (PBE)

Data for a relaxed structure of Tl2Sn2Hg7.

Values from the calculation:
Energy of formation from the pure elements   24 meV per atom
Total DFT energy (no corrections)   -1.3258 eV per atom
Symmetry   P-1

```
Tl2Sn2Hg7
1.0
4.773 0.000 0.000
-0.007 7.664 0.000
-0.107 -0.681 8.668
Tl Sn Hg
2 2 7
Cartesian
-0.007 3.209 1.775 Tl
4.666 3.774 6.892 Tl
-0.013 6.919 1.325 Sn
4.673 0.065 7.343 Sn
-0.023 1.313 4.586 Hg
2.286 6.239 6.125 Hg
2.375 5.364 0.348 Hg
2.330 3.492 4.334 Hg
2.285 1.619 8.320 Hg
2.374 0.745 2.542 Hg
4.683 5.671 4.081 Hg
```

=====

# 3
## TlSnHg2 (PBE)

Data for a relaxed structure of TlSnHg2.

Values from the calculation:
Energy of formation from the pure elements   52 meV per atom
Total DFT energy (no corrections)   -1.6909 eV per atom
Symmetry   C2/m

```
TlSnHg2
1.0
6.032 0.000 0.000
0.000 3.941 0.000
-2.766 0.000 9.427
Tl Sn Hg
2 2 4
Cartesian
0.000 0.000 0.000 Tl
3.016 1.971 0.000 Tl
-1.383 1.971 4.714 Sn
1.633 0.000 4.714 Sn
-0.589 0.000 6.994 Hg
0.839 1.971 2.434 Hg
2.427 1.971 6.994 Hg
3.855 0.000 2.434 Hg
```

=====

# 4
## Tl4SnHg3 (PBE)

Data for a relaxed structure of Tl4SnHg3.

Values from the calculation:
Energy of formation from the pure elements   6 meV per atom
Total DFT energy (no corrections)   -1.7902 eV per atom
Symmetry   Pmm2

```
Tl4SnHg3
1.0
3.406 0.000 0.000
0.000 5.280 0.000
0.000 0.000 12.898
Tl Sn Hg
4 1 3
Cartesian
0.000 0.000 0.000 Tl
0.000 2.640 4.432 Tl
1.703 0.000 6.484 Tl
1.703 2.640 10.977 Tl
0.000 0.000 9.550 Sn
0.000 2.640 7.796 Hg
1.703 0.000 3.140 Hg
1.703 2.640 1.377 Hg
```

=====

# 5
## Tl6SnHg12 (PBE)

Data for a relaxed structure of Tl6SnHg12.

Values from the calculation:
Energy of formation from the pure elements   20 meV per atom
Total DFT energy (no corrections)   -1.1289 eV per atom
Symmetry   R-3

```
Tl6SnHg12
1.0
7.137 4.120 3.220
-7.137 4.120 3.220
0.000 -8.241 3.220
Tl Sn Hg
6 1 12
Cartesian
-1.679 -2.254 2.531 Tl
-1.113 2.581 2.531 Tl
2.792 -0.327 2.531 Tl
-2.792 0.327 7.129 Tl
1.113 -2.581 7.129 Tl
1.679 2.254 7.129 Tl
0.000 0.000 4.830 Sn
-6.024 1.488 3.958 Hg
-4.300 -4.473 5.702 Hg
-3.120 0.381 3.894 Hg
1.723 -5.960 3.958 Hg
-1.890 -2.511 5.766 Hg
1.230 -2.893 3.894 Hg
-1.230 2.893 5.766 Hg
1.890 2.511 3.894 Hg
-1.723 5.960 5.702 Hg
3.120 -0.381 5.766 Hg
4.300 4.473 3.958 Hg
6.024 -1.488 5.702 Hg
```

=====

# 6
## Tl9Sn2Hg (PBE)

Data for a relaxed structure of Tl9Sn2Hg.

Values from the calculation:
Energy of formation from the pure elements   28 meV per atom
Total DFT energy (no corrections)   -2.4394 eV per atom
Symmetry   P4/mmm

```
Tl9Sn2Hg
1.0
4.796 0.000 0.000
0.000 4.796 0.000
0.000 0.000 15.692
Tl Sn Hg
9 2 1
Cartesian
0.000 0.000 0.000 Tl
0.000 0.000 5.275 Tl
0.000 0.000 10.417 Tl
0.000 2.398 2.684 Tl
0.000 2.398 7.846 Tl
0.000 2.398 13.008 Tl
2.398 0.000 2.684 Tl
2.398 0.000 7.846 Tl
2.398 0.000 13.008 Tl
2.398 2.398 5.165 Sn
2.398 2.398 10.526 Sn
2.398 2.398 0.000 Hg
```

=====

# 7
## Tl15Sn4Hg (PBE)

Data for a relaxed structure of Tl15Sn4Hg.

Values from the calculation:
Energy of formation from the pure elements   33 meV per atom
Total DFT energy (no corrections)   -2.5573 eV per atom
Symmetry   P4/mmm

```
Tl15Sn4Hg
1.0
5.470 0.000 0.000
0.000 5.470 0.000
0.000 0.000 20.000
Tl Sn Hg
15 4 1
Cartesian
0.000 0.000 0.000 Tl
0.000 0.000 3.965 Tl
0.000 0.000 7.981 Tl
0.000 0.000 12.019 Tl
0.000 0.000 16.035 Tl
0.000 2.735 1.986 Tl
0.000 2.735 5.988 Tl
0.000 2.735 10.000 Tl
0.000 2.735 14.012 Tl
0.000 2.735 18.014 Tl
2.735 0.000 1.986 Tl
2.735 0.000 5.988 Tl
2.735 0.000 10.000 Tl
2.735 0.000 14.012 Tl
2.735 0.000 18.014 Tl
2.735 2.735 4.046 Sn
2.735 2.735 7.956 Sn
2.735 2.735 12.044 Sn
2.735 2.735 15.954 Sn
2.735 2.735 0.000 Hg
```

=====

# 8
## Tl6SnHg8 (PBE)

Data for a relaxed structure of Tl6SnHg8.

Values from the calculation:
Energy of formation from the pure elements   9 meV per atom
Total DFT energy (no corrections)   -1.3653 eV per atom
Symmetry   P-3

```
Tl6SnHg8
1.0
9.114 0.000 0.000
-4.557 7.893 0.000
0.000 0.000 6.060
Tl Sn Hg
6 1 8
Cartesian
-1.128 3.563 1.226 Tl
-0.907 7.088 1.226 Tl
2.522 2.758 4.834 Tl
2.035 5.135 1.226 Tl
5.464 0.805 4.834 Tl
5.685 4.329 4.834 Tl
0.000 0.000 0.000 Sn
-0.699 2.254 4.152 Hg
-2.256 7.371 4.152 Hg
1.603 1.732 1.908 Hg
0.000 5.262 4.096 Hg
4.557 2.631 1.964 Hg
2.954 6.161 4.152 Hg
6.812 0.522 1.908 Hg
5.256 5.639 1.908 Hg
```

=====

# 9
## Tl3SnHg2 (PBE)

Data for a relaxed structure of Tl3SnHg2.

Values from the calculation:
Energy of formation from the pure elements   11 meV per atom
Total DFT energy (no corrections)   -1.9398 eV per atom
Symmetry   P4/mmm

```
Tl3SnHg2
1.0
3.769 0.000 0.000
0.000 3.769 0.000
0.000 0.000 12.282
Tl Sn Hg
3 1 2
Cartesian
0.000 0.000 0.000 Tl
0.000 0.000 4.055 Tl
0.000 0.000 8.226 Tl
1.884 1.884 6.141 Sn
1.884 1.884 2.031 Hg
1.884 1.884 10.251 Hg
```

=====

# 10
## Tl8Sn2Hg3 (PBE)

Data for a relaxed structure of Tl8Sn2Hg3.

Values from the calculation:
Energy of formation from the pure elements   53 meV per atom
Total DFT energy (no corrections)   -2.0884 eV per atom
Symmetry   P2/m

```
Tl8Sn2Hg3
1.0
9.553 0.000 0.000
0.000 4.924 0.000
-3.271 0.000 9.017
Tl Sn Hg
8 2 3
Cartesian
-0.203 0.000 3.411 Tl
-1.540 2.462 7.806 Tl
3.274 0.000 0.968 Tl
1.680 2.462 5.514 Tl
4.601 2.462 3.503 Tl
3.007 0.000 8.049 Tl
7.821 2.462 1.211 Tl
6.484 0.000 5.607 Tl
0.106 0.000 6.634 Sn
6.176 0.000 2.383 Sn
0.000 0.000 0.000 Hg
1.574 2.462 2.246 Hg
4.707 2.462 6.772 Hg
```

=====

# 11
## Tl8Sn3Hg2 (PBE)

Data for a relaxed structure of Tl8Sn3Hg2.

Values from the calculation:
Energy of formation from the pure elements   61 meV per atom
Total DFT energy (no corrections)   -2.3649 eV per atom
Symmetry   C2/m

```
Tl8Sn3Hg2
1.0
8.089 -4.284 0.000
8.089 4.284 0.000
-2.227 0.000 5.970
Tl Sn Hg
8 3 2
Cartesian
6.061 2.609 0.118 Tl
0.573 0.000 2.457 Tl
4.213 0.000 2.144 Tl
7.890 2.609 5.851 Tl
6.061 -2.609 0.118 Tl
9.737 0.000 3.825 Tl
13.378 0.000 3.513 Tl
7.890 -2.609 5.851 Tl
6.975 1.514 2.985 Sn
8.089 0.000 0.000 Sn
6.975 -1.514 2.985 Sn
2.601 0.000 4.817 Hg
11.349 0.000 1.152 Hg
```

=====

# 12
## Tl12Sn3Hg (PBE)

Data for a relaxed structure of Tl12Sn3Hg.

Values from the calculation:
Energy of formation from the pure elements   32 meV per atom
Total DFT energy (no corrections)   -2.5124 eV per atom
Symmetry   P4/mmm

```
Tl12Sn3Hg
1.0
5.432 0.000 0.000
0.000 5.432 0.000
0.000 0.000 16.366
Tl Sn Hg
12 3 1
Cartesian
0.000 0.000 0.000 Tl
0.000 0.000 4.097 Tl
0.000 0.000 8.183 Tl
0.000 0.000 12.269 Tl
0.000 2.716 2.043 Tl
0.000 2.716 6.113 Tl
0.000 2.716 10.253 Tl
0.000 2.716 14.323 Tl
2.716 0.000 2.043 Tl
2.716 0.000 6.113 Tl
2.716 0.000 10.253 Tl
2.716 0.000 14.323 Tl
2.716 2.716 0.000 Sn
2.716 2.716 4.023 Sn
2.716 2.716 12.343 Sn
2.716 2.716 8.183 Hg
```